Computed, not measured: a relaxed structure of GdMnH at the PBE level of DFT.

Properties
- total magnetization (μB per cell) = 15.0
- E (eV per atom) = -8.8183
- space-group type = Cmcm (63)

abc: 3.060 3.413 8.313
angles: 90.00 100.61 90.00
Each line ends with the local moment (μB).
Fractional coordinates of all 6 atoms:
Mn1 0.756 0.250 0.511  0.04
Mn2 0.244 0.750 0.489  0.04
H1 0.451 0.250 0.902  0.02
H2 0.549 0.750 0.098  0.02
Gd1 0.097 0.250 0.195  -7.33
Gd2 0.903 0.750 0.805  -7.33


Computed, not measured: a relaxed structure of GdMoH3 at the PBE level of DFT.

Properties
- total magnetization (μB per cell) = 7.0
- E (eV per atom) = -7.2982
- space-group type = Pm-3m (221)

abc: 3.713 3.713 3.713
angles: 90.00 90.00 90.00
Each line ends with the local moment (μB).
Fractional coordinates of all 5 atoms:
Gd1 0.500 0.500 0.500  7.00
Mo1 0.000 0.000 0.000  -0.10
H1 0.000 0.000 0.500  -0.01
H2 0.000 0.500 0.000  -0.01
H3 0.500 0.000 0.000  -0.01


Computed, not measured: a relaxed structure of GdHN at the PBE level of DFT.

Properties
- total magnetization (μB per cell) = 14.2
- E (eV per atom) = -8.9367
- space-group type = Cmcm (63)

abc: 3.562 3.562 6.261
angles: 90.00 90.00 120.56
Each line ends with the local moment (μB).
Fractional coordinates of all 6 atoms:
H1 0.746 0.254 0.250  0.00
H2 0.254 0.746 0.750  0.00
N1 0.307 0.693 0.250  -0.03
N2 0.693 0.307 0.750  -0.03
Gd1 0.000 0.000 0.000  7.00
Gd2 0.000 0.000 0.500  7.00


Computed, not measured: a relaxed structure of NaGdH2 at the PBE level of DFT.

Properties
- total magnetization (μB per cell) = 7.2
- E (eV per atom) = -5.8211
- space-group type = R-3m (166)

abc: 3.608 3.608 6.481
angles: 73.84 73.84 60.00
Each line ends with the local moment (μB).
Fractional coordinates of all 4 atoms:
H1 0.714 0.714 0.859  -0.01
H2 0.286 0.286 0.141  -0.01
Na1 0.500 0.500 0.500  -0.01
Gd1 0.000 0.000 0.000  7.08


Computed, not measured: a relaxed structure of NaGd2H at the PBE level of DFT.

Properties
- total magnetization (μB per cell) = 14.6
- E (eV per atom) = -8.2425
- space-group type = R-3m (166)

abc: 3.553 3.553 9.892
angles: 79.65 79.65 60.00
Each line ends with the local moment (μB).
Fractional coordinates of all 4 atoms:
H1 0.500 0.500 0.500  -0.01
Gd1 0.880 0.880 0.360  7.06
Gd2 0.120 0.120 0.640  7.06
Na1 0.000 0.000 0.000  0.00


Computed, not measured: a relaxed structure of NaGdH2S2O9 at the PBE level of DFT.

Properties
- total magnetization (μB per cell) = 20.9
- E (eV per atom) = -6.8490
- space-group type = P3_221 (154)

abc: 6.971 6.971 12.912
angles: 90.00 90.00 120.00
Each line ends with the local moment (μB).
Fractional coordinates of all 45 atoms:
S1 0.542 0.556 0.759  0.00
S2 0.458 0.014 0.907  0.00
S3 0.444 0.986 0.426  0.00
S4 0.014 0.458 0.093  0.00
S5 0.986 0.444 0.574  0.00
S6 0.556 0.542 0.241  0.00
O1 0.585 0.756 0.699  0.00
O2 0.485 0.352 0.168  0.00
O3 0.867 0.515 0.501  0.00
O4 0.874 0.262 0.160  0.00
O5 0.648 0.133 0.834  0.00
O6 0.497 0.876 0.982  0.00
O7 0.829 0.244 0.634  0.00
O8 0.503 0.379 0.684  0.00
O9 0.171 0.415 0.032  0.00
O10 0.415 0.171 0.968  0.00
O11 0.000 0.086 0.333  0.00
O12 0.613 0.738 0.173  0.00
O13 0.914 0.914 0.000  0.00
O14 0.387 0.126 0.494  0.00
O15 0.738 0.613 0.827  0.00
O16 0.244 0.829 0.366  0.00
O17 0.352 0.485 0.832  0.00
O18 0.621 0.124 0.351  0.00
O19 0.379 0.503 0.316  0.00
O20 0.133 0.648 0.166  0.00
O21 0.124 0.621 0.649  0.00
O22 0.086 0.000 0.667  0.00
O23 0.515 0.867 0.499  0.00
O24 0.126 0.387 0.506  0.00
O25 0.876 0.497 0.018  0.00
O26 0.262 0.874 0.840  0.00
O27 0.756 0.585 0.301  0.00
H1 0.098 0.051 0.373  0.00
H2 0.949 0.046 0.040  0.00
H3 0.051 0.098 0.627  0.00
H4 0.046 0.949 0.960  0.00
H5 0.902 0.954 0.294  0.00
H6 0.954 0.902 0.706  0.00
Na1 0.000 0.475 0.833  0.00
Na2 0.475 0.000 0.167  0.00
Na3 0.525 0.525 0.500  0.00
Gd1 0.437 0.000 0.667  6.93
Gd2 0.563 0.563 0.000  6.93
Gd3 0.000 0.437 0.333  6.93


Computed, not measured: a relaxed structure of GdNbH3 at the PBE level of DFT.

Properties
- total magnetization (μB per cell) = 6.9
- E (eV per atom) = -7.1555
- space-group type = Pm-3m (221)

abc: 3.809 3.809 3.809
angles: 90.00 90.00 90.00
Each line ends with the local moment (μB).
Fractional coordinates of all 5 atoms:
H1 0.000 0.000 0.500  0.01
H2 0.000 0.500 0.000  0.01
H3 0.500 0.000 0.000  0.01
Gd1 0.500 0.500 0.500  -6.99
Nb1 0.000 0.000 0.000  0.17


Computed, not measured: a relaxed structure of Gd3Nb5H12 at the PBE level of DFT.

Properties
- total magnetization (μB per cell) = 84.8
- E (eV per atom) = -6.9178
- space-group type = Ia-3d (230)

abc: 10.365 10.365 10.365
angles: 109.47 109.47 109.47
Each line ends with the local moment (μB).
Fractional coordinates of all 80 atoms:
Gd1 0.375 0.625 0.250  6.99
Gd2 0.750 0.375 0.125  6.99
Gd3 0.625 0.375 0.750  6.99
Gd4 0.250 0.125 0.375  6.99
Gd5 0.875 0.125 0.250  6.99
Gd6 0.250 0.625 0.875  6.99
Gd7 0.125 0.250 0.875  6.99
Gd8 0.750 0.875 0.625  6.99
Gd9 0.375 0.750 0.625  6.99
Gd10 0.125 0.875 0.750  6.99
Gd11 0.875 0.750 0.125  6.99
Gd12 0.625 0.250 0.375  6.99
H1 0.547 0.335 0.916  -0.01
H2 0.916 0.835 0.547  -0.01
H3 0.416 0.370 0.581  -0.01
H4 0.165 0.084 0.953  -0.01
H5 0.712 0.130 0.047  -0.01
H6 0.953 0.370 0.288  -0.01
H7 0.916 0.081 0.870  -0.01
H8 0.584 0.953 0.665  -0.01
H9 0.165 0.081 0.712  -0.01
H10 0.130 0.419 0.084  -0.01
H11 0.335 0.547 0.416  -0.01
H12 0.084 0.919 0.130  -0.01
H13 0.919 0.084 0.630  -0.01
H14 0.370 0.953 0.788  -0.01
H15 0.835 0.919 0.288  -0.01
H16 0.835 0.916 0.047  -0.01
H17 0.453 0.665 0.084  -0.01
H18 0.130 0.712 0.547  -0.01
H19 0.419 0.130 0.584  -0.01
H20 0.870 0.581 0.916  -0.01
H21 0.419 0.288 0.335  -0.01
H22 0.212 0.665 0.081  -0.01
H23 0.081 0.916 0.370  -0.01
H24 0.288 0.419 0.835  -0.01
H25 0.047 0.630 0.712  -0.01
H26 0.370 0.416 0.081  -0.01
H27 0.712 0.581 0.165  -0.01
H28 0.665 0.212 0.581  -0.01
H29 0.665 0.453 0.584  -0.01
H30 0.788 0.335 0.919  -0.01
H31 0.919 0.835 0.788  -0.01
H32 0.084 0.165 0.453  -0.01
H33 0.547 0.212 0.130  -0.01
H34 0.047 0.416 0.835  -0.01
H35 0.581 0.870 0.416  -0.01
H36 0.335 0.788 0.419  -0.01
H37 0.581 0.712 0.665  -0.01
H38 0.288 0.870 0.953  -0.01
H39 0.584 0.630 0.419  -0.01
H40 0.212 0.547 0.630  -0.01
H41 0.788 0.453 0.370  -0.01
H42 0.953 0.584 0.165  -0.01
H43 0.870 0.288 0.453  -0.01
H44 0.081 0.165 0.212  -0.01
H45 0.630 0.584 0.919  -0.01
H46 0.630 0.047 0.212  -0.01
H47 0.453 0.788 0.870  -0.01
H48 0.416 0.047 0.335  -0.01
Nb1 0.875 0.250 0.625  -0.01
Nb2 0.375 0.250 0.125  -0.01
Nb3 0.125 0.375 0.250  -0.01
Nb4 0.125 0.750 0.375  -0.01
Nb5 0.500 0.500 0.000  0.02
Nb6 0.625 0.750 0.875  -0.01
Nb7 0.500 0.500 0.500  0.02
Nb8 0.750 0.125 0.875  -0.01
Nb9 0.000 0.500 0.500  0.02
Nb10 0.000 0.000 0.000  0.02
Nb11 0.500 0.000 0.000  0.02
Nb12 0.250 0.375 0.625  -0.01
Nb13 0.625 0.875 0.250  -0.01
Nb14 0.250 0.875 0.125  -0.01
Nb15 0.875 0.625 0.750  -0.01
Nb16 0.000 0.000 0.500  0.02
Nb17 0.500 0.000 0.500  0.02
Nb18 0.750 0.625 0.375  -0.01
Nb19 0.000 0.500 0.000  0.02
Nb20 0.375 0.125 0.750  -0.01


Computed, not measured: a relaxed structure of NdGd2H at the PBE level of DFT.

Properties
- total magnetization (μB per cell) = 14.3
- E (eV per atom) = -9.2495
- space-group type = R-3m (166)

abc: 3.653 3.653 8.908
angles: 78.17 78.17 60.00
Each line ends with the local moment (μB).
Fractional coordinates of all 4 atoms:
Gd1 0.280 0.280 0.161  7.06
Gd2 0.720 0.720 0.839  7.06
H1 0.000 0.000 0.000  -0.01
Nd1 0.500 0.500 0.500  -0.07


Computed, not measured: a relaxed structure of NdGdH at the PBE level of DFT.

Properties
- ΔE to the lowest computed polymorph (meV per atom) = 94.2
- total magnetization (μB per cell) = 7.4
- E (eV per atom) = -7.5305
- space-group type = I4mm (107)

abc: 3.453 3.453 6.608
angles: 105.14 105.14 90.00
Each line ends with the local moment (μB).
Fractional coordinates of all 3 atoms:
H1 0.219 0.219 0.437  0.00
Nd1 0.747 0.747 0.494  -0.05
Gd1 0.034 0.034 0.069  7.18


Computed, not measured: a relaxed structure of NdGd3H at the PBE level of DFT.

Properties
- total magnetization (μB per cell) = 21.4
- E (eV per atom) = -10.2365
- space-group type = Pm-3m (221)

abc: 5.069 5.069 5.069
angles: 90.00 90.00 90.00
Each line ends with the local moment (μB).
Fractional coordinates of all 5 atoms:
Nd1 0.500 0.500 0.500  -0.15
Gd1 0.500 0.000 0.000  7.08
Gd2 0.000 0.000 0.500  7.08
Gd3 0.000 0.500 0.000  7.08
H1 0.000 0.000 0.000  -0.02


Computed, not measured: a relaxed structure of NdGdH at the PBE level of DFT.

Properties
- ΔE to the lowest computed polymorph (meV per atom) = 0.0
- total magnetization (μB per cell) = 7.5
- E (eV per atom) = -7.6247
- space-group type = P3m1 (156)

abc: 3.690 3.690 5.815
angles: 90.00 90.00 120.00
Each line ends with the local moment (μB).
Fractional coordinates of all 3 atoms:
Nd1 0.000 0.000 0.087  0.00
Gd1 0.333 0.667 0.572  7.16
H1 0.667 0.333 0.341  -0.01


Computed, not measured: a relaxed structure of Nd4Gd2H at the PBE level of DFT.

Properties
- total magnetization (μB per cell) = 15.4
- E (eV per atom) = -7.1698
- space-group type = I4/mmm (139)

abc: 4.963 4.963 9.430
angles: 74.74 74.74 90.00
Each line ends with the local moment (μB).
Fractional coordinates of all 7 atoms:
Gd1 0.354 0.354 0.292  7.24
Gd2 0.646 0.646 0.708  7.24
Nd1 0.500 0.000 0.000  -0.05
Nd2 0.154 0.154 0.693  0.12
Nd3 0.000 0.500 0.000  -0.05
Nd4 0.846 0.846 0.307  0.12
H1 0.000 0.000 0.000  0.00


Computed, not measured: a relaxed structure of GdNi3H at the PBE level of DFT.

Properties
- total magnetization (μB per cell) = 7.1
- E (eV per atom) = -7.1540
- space-group type = Pm-3m (221)

abc: 3.914 3.914 3.914
angles: 90.00 90.00 90.00
Each line ends with the local moment (μB).
Fractional coordinates of all 5 atoms:
Ni1 0.000 0.500 0.000  0.00
Ni2 0.500 0.000 0.000  0.00
Ni3 0.000 0.000 0.500  0.00
H1 0.000 0.000 0.000  0.00
Gd1 0.500 0.500 0.500  -6.97


Computed, not measured: a relaxed structure of Gd2NiH4 at the PBE level of DFT.

Properties
- total magnetization (μB per cell) = 15.4
- E (eV per atom) = -7.1951
- space-group type = I4/mmm (139)

abc: 3.567 3.567 6.641
angles: 74.42 74.42 90.00
Each line ends with the local moment (μB).
Fractional coordinates of all 7 atoms:
Gd1 0.645 0.645 0.711  -7.27
Gd2 0.355 0.355 0.289  -7.27
Ni1 0.000 0.000 0.000  -0.05
H1 0.854 0.854 0.293  0.02
H2 0.500 0.000 0.000  0.01
H3 0.146 0.146 0.707  0.02
H4 0.000 0.500 0.000  0.01


Computed, not measured: a relaxed structure of Gd2NiH at the PBE level of DFT.

Properties
- total magnetization (μB per cell) = 14.7
- E (eV per atom) = -9.4443
- space-group type = P4/mmm (123)

abc: 3.252 3.252 6.891
angles: 90.00 90.00 90.00
Each line ends with the local moment (μB).
Fractional coordinates of all 4 atoms:
H1 0.500 0.500 0.500  0.02
Gd1 0.000 0.000 0.747  -7.14
Gd2 0.000 0.000 0.253  -7.14
Ni1 0.500 0.500 0.000  -0.04


Computed, not measured: a relaxed structure of Gd2Ni4H at the PBE level of DFT.

Properties
- total magnetization (μB per cell) = 14.2
- E (eV per atom) = -8.0933
- space-group type = I4/mmm (139)

abc: 3.850 3.850 7.549
angles: 75.22 75.22 90.00
Each line ends with the local moment (μB).
Fractional coordinates of all 7 atoms:
Ni1 0.120 0.120 0.759  -0.03
Ni2 0.500 0.000 0.000  -0.02
Ni3 0.000 0.500 0.000  -0.02
Ni4 0.880 0.880 0.241  -0.03
H1 0.000 0.000 0.000  0.00
Gd1 0.340 0.340 0.321  7.02
Gd2 0.660 0.660 0.679  7.02


Computed, not measured: a relaxed structure of GdNiH3 at the PBE level of DFT.

Properties
- total magnetization (μB per cell) = 7.1
- E (eV per atom) = -6.4628
- space-group type = Pm-3m (221)

abc: 3.558 3.558 3.558
angles: 90.00 90.00 90.00
Each line ends with the local moment (μB).
Fractional coordinates of all 5 atoms:
Ni1 0.000 0.000 0.000  -0.02
Gd1 0.500 0.500 0.500  7.04
H1 0.000 0.500 0.000  -0.01
H2 0.000 0.000 0.500  -0.01
H3 0.500 0.000 0.000  -0.01


Computed, not measured: a relaxed structure of GdNpH at the PBE level of DFT.

Properties
- total magnetization (μB per cell) = 29.2
- E (eV per atom) = -10.1318
- space-group type = P2_1/m (11)

abc: 3.440 8.485 7.614
angles: 90.52 90.00 90.00
Each line ends with the local moment (μB).
Fractional coordinates of all 12 atoms:
H1 0.750 0.993 0.164  0.00
H2 0.250 0.507 0.836  0.00
H3 0.750 0.493 0.164  0.00
H4 0.250 0.007 0.836  0.00
Np1 0.250 0.831 0.056  -0.12
Np2 0.750 0.169 0.944  -0.12
Np3 0.250 0.331 0.056  -0.12
Np4 0.750 0.669 0.944  -0.12
Gd1 0.250 0.122 0.344  7.16
Gd2 0.750 0.878 0.656  7.16
Gd3 0.750 0.378 0.656  7.16
Gd4 0.250 0.622 0.344  7.16


Computed, not measured: a relaxed structure of GdH3O3 at the PBE level of DFT.

Properties
- total magnetization (μB per cell) = 14.0
- E (eV per atom) = -7.4997
- space-group type = P6_3/m (176)

abc: 6.413 6.413 3.623
angles: 90.00 90.00 120.00
Each line ends with the local moment (μB).
Fractional coordinates of all 14 atoms:
Gd1 0.333 0.667 0.250  6.95
Gd2 0.667 0.333 0.750  6.95
O1 0.605 0.688 0.750  0.00
O2 0.916 0.605 0.250  0.00
O3 0.395 0.312 0.250  0.00
O4 0.688 0.084 0.250  0.00
O5 0.084 0.395 0.750  0.00
O6 0.312 0.916 0.750  0.00
H1 0.862 0.722 0.250  0.00
H2 0.138 0.278 0.750  0.00
H3 0.860 0.138 0.250  0.00
H4 0.722 0.860 0.750  0.00
H5 0.140 0.862 0.750  0.00
H6 0.278 0.140 0.250  0.00